[1]
An optimized crystal structure of Ca2CrGaN. Source: the Alexandria database, functional PBE-GGA.

**Uncorrected formation energy**: -0.50 eV per atom
**Crystal system**: tetragonal
**DFT total energy**: -5.4969 eV per atom

Structure (CIF):
```
data_Ca2CrGaN
_chemical_formula_sum 'Ca2 Cr1 Ga1 N1'
_cell_length_a 5.0509
_cell_length_b 5.0509
_cell_length_c 3.8136
_cell_angle_alpha 90.00
_cell_angle_beta 90.00
_cell_angle_gamma 90.00
_space_group_name_H-M_alt 'P 4/m m m'
_space_group_IT_number 123
_space_group_name_Hall '-P 4 2'
loop_
_atom_site_label
_atom_site_fract_x
_atom_site_fract_y
_atom_site_fract_z
Ca1 0.0000 0.5000 0.0000
Cr1 0.0000 0.0000 0.5000
Ga1 0.5000 0.5000 0.5000
N1 0.0000 0.0000 0.0000
```

[2]
An optimized crystal structure of SmAl2SiRh. Source: the Alexandria database, functional PBE-GGA.

**Uncorrected formation energy**: -0.77 eV per atom
**Crystal system**: orthorhombic
**DFT total energy**: -5.7693 eV per atom

Structure (CIF):
```
data_SmAl2SiRh
_chemical_formula_sum 'Sm2 Al4 Si2 Rh2'
_cell_length_a 3.9352
_cell_length_b 4.0938
_cell_length_c 11.1407
_cell_angle_alpha 90.00
_cell_angle_beta 90.00
_cell_angle_gamma 90.00
_space_group_name_H-M_alt 'I m m 2'
_space_group_IT_number 44
loop_
_space_group_symop_operation_xyz
'x,y,z'
'-x,-y,z'
'-x,y,z'
'x,-y,z'
'x+1/2,y+1/2,z+1/2'
'-x+1/2,-y+1/2,z+1/2'
'-x+1/2,y+1/2,z+1/2'
'x+1/2,-y+1/2,z+1/2'
loop_
_atom_site_label
_atom_site_fract_x
_atom_site_fract_y
_atom_site_fract_z
Sm1 0.0000 0.0000 0.0000
Al1 0.0000 0.0000 0.3807
Al2 0.0000 0.5000 0.2420
Si1 0.0000 0.0000 0.6036
Rh1 0.0000 0.5000 0.7358
```

[3]
An optimized crystal structure of W2SeBr. Source: the Alexandria database, functional PBE-GGA.

**Polymorph energy (0 for the lowest one)**: 1051 meV/atom
**Uncorrected formation energy**: 1.19 eV per atom
**Crystal system**: orthorhombic
**DFT total energy**: -6.5741 eV per atom

Structure (CIF):
```
data_W2SeBr
_chemical_formula_sum 'W2 Se1 Br1'
_cell_length_a 2.9302
_cell_length_b 4.3882
_cell_length_c 5.6992
_cell_angle_alpha 90.00
_cell_angle_beta 90.00
_cell_angle_gamma 90.00
_space_group_name_H-M_alt 'P m m m'
_space_group_IT_number 47
loop_
_space_group_symop_operation_xyz
'x,y,z'
'-x,-y,-z'
'-x,-y,z'
'x,y,-z'
'x,-y,-z'
'-x,y,z'
'-x,y,-z'
'x,-y,z'
loop_
_atom_site_label
_atom_site_fract_x
_atom_site_fract_y
_atom_site_fract_z
W1 0.0000 0.0000 0.0000
W2 0.5000 0.0000 0.5000
Se1 0.0000 0.5000 0.5000
Br1 0.5000 0.5000 0.0000
```

[4]
An optimized crystal structure of Cr4Mo3. Source: the Alexandria database, functional PBE-GGA.

**Polymorph energy (0 for the lowest one)**: 407 meV/atom
**Energy relative to the elements**: 487.4 meV per atom
**Crystal system**: hexagonal
**DFT total energy**: -9.6536 eV per atom

Structure (CIF):
```
data_Cr4Mo3
_chemical_formula_sum 'Cr4 Mo3'
_cell_length_a 4.9891
_cell_length_b 4.9891
_cell_length_c 4.6997
_cell_angle_alpha 90.00
_cell_angle_beta 90.00
_cell_angle_gamma 120.00
_space_group_name_H-M_alt 'P 6/m m m'
_space_group_IT_number 191
_space_group_name_Hall '-P 6 2'
loop_
_atom_site_label
_atom_site_fract_x
_atom_site_fract_y
_atom_site_fract_z
Cr1 0.0000 0.0000 0.2102
Cr2 0.3333 0.6667 0.0000
Mo1 0.0000 0.5000 0.5000
```

Please write out number 1 again, unchanged.
An optimized crystal structure of Ca2CrGaN. Source: the Alexandria database, functional PBE-GGA.

**Uncorrected formation energy**: -0.50 eV per atom
**Crystal system**: tetragonal
**DFT total energy**: -5.4969 eV per atom

Structure (CIF):
```
data_Ca2CrGaN
_chemical_formula_sum 'Ca2 Cr1 Ga1 N1'
_cell_length_a 5.0509
_cell_length_b 5.0509
_cell_length_c 3.8136
_cell_angle_alpha 90.00
_cell_angle_beta 90.00
_cell_angle_gamma 90.00
_space_group_name_H-M_alt 'P 4/m m m'
_space_group_IT_number 123
_space_group_name_Hall '-P 4 2'
loop_
_atom_site_label
_atom_site_fract_x
_atom_site_fract_y
_atom_site_fract_z
Ca1 0.0000 0.5000 0.0000
Cr1 0.0000 0.0000 0.5000
Ga1 0.5000 0.5000 0.5000
N1 0.0000 0.0000 0.0000
```